The following is a DFT calculation (PBE) of crystalline SrAcZnAu at its relaxed geometry.

```
SrAcZnAu
1.0
5.500 0.000 0.000
2.750 4.763 0.000
2.750 1.588 4.490
Sr Ac Au Zn
1 1 1 1
Direct
0.250 0.250 0.250 Sr
0.750 0.750 0.750 Ac
0.500 0.500 0.500 Au
0.000 0.000 0.000 Zn
```

Summary:
Energy relative to the lowest polymorph listed for this composition, meV per atom: 24
Spin magnetization, μB per cell: 0.00
Space group: F-43m (216)
Formation energy from the elements, eV per atom: -0.477